Rb2SbTeRu | PBE-GGA | optimized geometry

Structure (CIF):
```
data_Rb2SbTeRu
_chemical_formula_sum 'Rb2 Sb1 Te1 Ru1'
_cell_length_a 6.241
_cell_length_b 6.241
_cell_length_c 5.030
_cell_angle_alpha 90.00
_cell_angle_beta 90.00
_cell_angle_gamma 90.00
_symmetry_space_group_name_H-M 'P 4/m m m'
_symmetry_Int_Tables_number 123
_symmetry_space_group_name_Hall '-P 4 2'
loop_
_atom_site_label
_atom_site_type_symbol
_atom_site_fract_x
_atom_site_fract_y
_atom_site_fract_z
Rb1 Rb 0.000 0.500 0.000
Sb1 Sb 0.000 0.000 0.500
Te1 Te 0.500 0.500 0.500
Ru1 Ru 0.000 0.000 0.000
```

Raw formation energy = 294.5 meV/atom
Spin magnetization = 1.447 Bohr magnetons per cell